(1)
A plane-wave DFT calculation with PBE-GGA was carried out for a geometry-optimized Na3Cd2BPt3 structure.

Values from the calculation:
Energy of formation, meV/atom: -130
Space group: P-62m (189)
DOS at the Fermi energy, states/eV/atom: 0.30

Lattice parameters (Å, degrees): 2.971 7.750 7.750 120.00 90.00 90.00
Fractional coordinates of all 9 atoms:
Na  0.000  0.000  0.375
Na  0.000  0.625  0.625
Na  0.000  0.375  0.000
Cd  0.500  0.333  0.667
Cd  0.500  0.667  0.333
B  0.000  0.000  0.000
Pt  0.500  0.780  0.000
Pt  0.500  0.220  0.220
Pt  0.500  0.000  0.780


(2)
A plane-wave DFT calculation with PBE-GGA was carried out for a geometry-optimized Na2CdB2Pt5 structure.

Values from the calculation:
Energy of formation, meV/atom: -344
Space group: P4/mbm (127)
DOS at the Fermi energy, states/eV/atom: 0.33

Lattice parameters (Å, degrees): 2.871 10.334 10.334 90.00 90.00 90.00
Fractional coordinates of all 20 atoms:
Na  0.000  0.682  0.182
Na  0.000  0.318  0.818
Na  0.000  0.182  0.318
Na  0.000  0.818  0.682
Cd  0.000  0.000  0.000
Cd  0.000  0.500  0.500
B  0.000  0.123  0.623
B  0.000  0.877  0.377
B  0.000  0.623  0.877
B  0.000  0.377  0.123
Pt  0.500  0.232  0.064
Pt  0.500  0.768  0.936
Pt  0.500  0.064  0.768
Pt  0.500  0.732  0.436
Pt  0.500  0.936  0.232
Pt  0.500  0.268  0.564
Pt  0.500  0.564  0.732
Pt  0.500  0.436  0.268
Pt  0.500  0.500  0.000
Pt  0.500  0.000  0.500